# 1
# K2SrBr4 (PBE-GGA, optimized geometry)
# Total energy (eV/cell): -46.81
# Offset from the most stable computed form (eV/f.u.): 0.37
# Volume (Å³/atom): 43.071
# Uncorrected formation energy (kcal/mol of atoms): -42.28
# D(E_F) (states/eV/f.u.): 0.000
# Crystal system: tetragonal
data_K2SrBr4
_chemical_formula_sum 'K4 Sr2 Br8'
_cell_length_a 5.9501
_cell_length_b 5.9501
_cell_length_c 17.0318
_cell_angle_alpha 90.00
_cell_angle_beta 90.00
_cell_angle_gamma 90.00
_symmetry_space_group_name_H-M 'I 4/m m m'
_symmetry_Int_Tables_number 139
_symmetry_space_group_name_Hall '-I 4 2'
loop_
_atom_site_label
_atom_site_type_symbol
_atom_site_fract_x
_atom_site_fract_y
_atom_site_fract_z
_atom_site_occupancy
K1 K 0.0000 0.0000 0.1394 1
Sr1 Sr 0.0000 0.0000 0.5000 1
Br1 Br 0.0000 0.0000 0.3244 1
Br2 Br 0.0000 0.5000 0.0000 1

# 2
# KSrBr (PBE-GGA, optimized geometry)
# Total energy (eV/cell): -14.38
# Offset from the most stable computed form (eV/f.u.): 0.24
# Volume (Å³/atom): 42.592
# Uncorrected formation energy (kcal/mol of atoms): -21.04
# D(E_F) (states/eV/f.u.): 1.416
# Crystal system: tetragonal
data_KSrBr
_chemical_formula_sum 'K2 Sr2 Br2'
_cell_length_a 4.0507
_cell_length_b 4.0507
_cell_length_c 15.5750
_cell_angle_alpha 90.00
_cell_angle_beta 90.00
_cell_angle_gamma 90.00
_symmetry_space_group_name_H-M 'I 4 m m'
_symmetry_Int_Tables_number 107
_symmetry_space_group_name_Hall 'I 4 -2'
loop_
_atom_site_label
_atom_site_type_symbol
_atom_site_fract_x
_atom_site_fract_y
_atom_site_fract_z
_atom_site_occupancy
K1 K 0.0000 0.0000 0.0000 1
Sr1 Sr 0.0000 0.0000 0.7191 1
Br1 Br 0.0000 0.0000 0.3476 1

# 3
# KSrTbBr6 (PBE-GGA, optimized geometry)
# Total energy (eV/cell): -70.02
# Volume (Å³/atom): 40.279
# Uncorrected formation energy (kcal/mol of atoms): -45.00
# D(E_F) (states/eV/f.u.): 0.000
# Crystal system: trigonal
data_KSrTbBr6
_chemical_formula_sum 'K2 Sr2 Tb2 Br12'
_cell_length_a 7.7081
_cell_length_b 7.7081
_cell_length_c 14.0903
_cell_angle_alpha 90.00
_cell_angle_beta 90.00
_cell_angle_gamma 120.00
_symmetry_space_group_name_H-M 'P -3 1 c'
_symmetry_Int_Tables_number 163
_symmetry_space_group_name_Hall '-P 3 2c'
loop_
_atom_site_label
_atom_site_type_symbol
_atom_site_fract_x
_atom_site_fract_y
_atom_site_fract_z
_atom_site_occupancy
K1 K 0.0000 0.0000 0.0000 1
Sr1 Sr 0.3333 0.6667 0.2500 1
Tb1 Tb 0.3333 0.6667 0.7500 1
Br1 Br 0.0236 0.3771 0.6341 1

# 4
# KSr2TbBr8 (PBE-GGA, optimized geometry)
# Total energy (eV/cell): -46.00
# Volume (Å³/atom): 38.660
# Uncorrected formation energy (kcal/mol of atoms): -45.20
# D(E_F) (states/eV/f.u.): 0.000
# Crystal system: monoclinic
data_KSr2TbBr8
_chemical_formula_sum 'K1 Sr2 Tb1 Br8'
_cell_length_a 6.8579
_cell_length_b 9.4213
_cell_length_c 7.1804
_cell_angle_alpha 90.00
_cell_angle_beta 90.05
_cell_angle_gamma 90.00
_symmetry_space_group_name_H-M 'P 1 2/m 1'
_symmetry_Int_Tables_number 10
loop_
_symmetry_equiv_pos_as_xyz
'x,y,z'
'-x,-y,-z'
'-x,y,-z'
'x,-y,z'
loop_
_atom_site_label
_atom_site_type_symbol
_atom_site_fract_x
_atom_site_fract_y
_atom_site_fract_z
_atom_site_occupancy
K1 K 0.0000 0.0000 0.0000 1
Sr1 Sr 0.5000 0.2516 0.5000 1
Tb1 Tb 0.0000 0.5000 0.0000 1
Br1 Br 0.2325 0.2849 0.1564 1
Br2 Br 0.2501 0.5000 0.6754 1
Br3 Br 0.2598 0.0000 0.6288 1

# 5
# KSrTiBr2 (PBE-GGA, optimized geometry)
# Total energy (eV/cell): -14.04
# Volume (Å³/atom): 43.186
# Uncorrected formation energy (kcal/mol of atoms): -0.09
# D(E_F) (states/eV/f.u.): 13.077
# Crystal system: tetragonal
data_KSrTiBr2
_chemical_formula_sum 'K1 Sr1 Ti1 Br2'
_cell_length_a 5.8483
_cell_length_b 5.8483
_cell_length_c 6.3133
_cell_angle_alpha 90.00
_cell_angle_beta 90.00
_cell_angle_gamma 90.00
_symmetry_space_group_name_H-M 'P 4/m m m'
_symmetry_Int_Tables_number 123
_symmetry_space_group_name_Hall '-P 4 2'
loop_
_atom_site_label
_atom_site_type_symbol
_atom_site_fract_x
_atom_site_fract_y
_atom_site_fract_z
_atom_site_occupancy
K1 K 0.0000 0.0000 0.0000 1
Sr1 Sr 0.5000 0.5000 0.5000 1
Ti1 Ti 0.0000 0.0000 0.5000 1
Br1 Br 0.0000 0.5000 0.0000 1

# 6
# K2SrTlBr5 (PBE-GGA, optimized geometry)
# Total energy (eV/cell): -28.67
# Volume (Å³/atom): 45.665
# Uncorrected formation energy (kcal/mol of atoms): -36.03
# D(E_F) (states/eV/f.u.): 0.000
# Crystal system: tetragonal
data_K2SrTlBr5
_chemical_formula_sum 'K2 Sr1 Tl1 Br5'
_cell_length_a 5.7975
_cell_length_b 5.7975
_cell_length_c 12.2278
_cell_angle_alpha 90.00
_cell_angle_beta 90.00
_cell_angle_gamma 90.00
_symmetry_space_group_name_H-M 'P 4/m m m'
_symmetry_Int_Tables_number 123
_symmetry_space_group_name_Hall '-P 4 2'
loop_
_atom_site_label
_atom_site_type_symbol
_atom_site_fract_x
_atom_site_fract_y
_atom_site_fract_z
_atom_site_occupancy
K1 K 0.0000 0.0000 0.2282 1
Sr1 Sr 0.5000 0.5000 0.0000 1
Tl1 Tl 0.5000 0.5000 0.5000 1
Br1 Br 0.0000 0.0000 0.5000 1
Br2 Br 0.0000 0.5000 0.0000 1
Br3 Br 0.5000 0.5000 0.2465 1

# 7
# KSrTlBr4 (PBE-GGA, optimized geometry)
# Total energy (eV/cell): -45.85
# Volume (Å³/atom): 42.662
# Uncorrected formation energy (kcal/mol of atoms): -36.53
# D(E_F) (states/eV/f.u.): 0.000
# Crystal system: tetragonal
data_KSrTlBr4
_chemical_formula_sum 'K2 Sr2 Tl2 Br8'
_cell_length_a 5.9474
_cell_length_b 5.9474
_cell_length_c 16.8853
_cell_angle_alpha 90.00
_cell_angle_beta 90.00
_cell_angle_gamma 90.00
_symmetry_space_group_name_H-M 'I 4 m m'
_symmetry_Int_Tables_number 107
_symmetry_space_group_name_Hall 'I 4 -2'
loop_
_atom_site_label
_atom_site_type_symbol
_atom_site_fract_x
_atom_site_fract_y
_atom_site_fract_z
_atom_site_occupancy
K1 K 0.0000 0.0000 0.0000 1
Sr1 Sr 0.0000 0.0000 0.3642 1
Tl1 Tl 0.0000 0.0000 0.7217 1
Br1 Br 0.0000 0.0000 0.1887 1
Br2 Br 0.0000 0.0000 0.5458 1
Br3 Br 0.0000 0.5000 0.3773 1

# 8
# KSrTl2Br5 (PBE-GGA, optimized geometry)
# Total energy (eV/cell): -115.93
# Volume (Å³/atom): 41.489
# Uncorrected formation energy (kcal/mol of atoms): -33.58
# D(E_F) (states/eV/f.u.): 0.000
# Crystal system: orthorhombic
data_KSrTl2Br5
_chemical_formula_sum 'K4 Sr4 Tl8 Br20'
_cell_length_a 4.6070
_cell_length_b 19.3645
_cell_length_c 16.7421
_cell_angle_alpha 90.00
_cell_angle_beta 90.00
_cell_angle_gamma 90.00
_symmetry_space_group_name_H-M 'C m c 21'
_symmetry_Int_Tables_number 36
loop_
_symmetry_equiv_pos_as_xyz
'x,y,z'
'-x,-y,z+1/2'
'-x,y,z'
'x,-y,z+1/2'
'x+1/2,y+1/2,z'
'-x+1/2,-y+1/2,z+1/2'
'-x+1/2,y+1/2,z'
'x+1/2,-y+1/2,z+1/2'
loop_
_atom_site_label
_atom_site_type_symbol
_atom_site_fract_x
_atom_site_fract_y
_atom_site_fract_z
_atom_site_occupancy
K1 K 0.0000 0.0550 0.0000 1
Sr1 Sr 0.0000 0.2511 0.5936 1
Tl1 Tl 0.0000 0.3586 0.8196 1
Tl2 Tl 0.0000 0.4369 0.2151 1
Br1 Br 0.0000 0.0234 0.3309 1
Br2 Br 0.0000 0.0963 0.5816 1
Br3 Br 0.0000 0.2263 0.9736 1
Br4 Br 0.0000 0.2579 0.2192 1
Br5 Br 0.0000 0.4068 0.6274 1